BeBC | PBE | relaxed

Properties
* energy above the most stable polymorph in this dataset: 62 meV/atom
* formation energy: 0.063 eV per atom
* total magnetic moment: 0.000 μB per atom
* raw total energy: -6.4793 eV/atom

a b c (Å): 3.329 2.705 11.215
angles (deg): 90.00 104.57 90.00
Sites, in units of the cell vectors:
C (0.833, 0.000, 0.348)
B (0.910, 0.000, 0.922)
C (0.833, 0.500, 0.848)
Be (0.732, 0.500, 0.230)
C (0.167, 0.000, 0.652)
B (0.090, 0.000, 0.078)
Be (0.268, 0.500, 0.770)
B (0.090, 0.500, 0.578)
C (0.167, 0.500, 0.152)
Be (0.732, 0.000, 0.730)
B (0.910, 0.500, 0.422)
Be (0.268, 0.000, 0.270)